1.
DFT (PBE-GGA) results for a relaxed LuTc3C crystal.

The space group is Pm-3m (No. 221) and the conventional cell measures 4.193, 4.193 and 4.193 Å, with angles of 90.00, 90.00 and 90.00 degrees. The asymmetric unit holds Lu at (0.000, 0.000, 0.000), Tc at (0.000, 0.500, 0.500) and C at (0.500, 0.500, 0.500).

2.
DFT (PBE-GGA) results for a relaxed LuTh2C crystal.

The space group is R-3m (No. 166, hexagonal axes) and the conventional cell measures 3.5502, 3.5502 and 29.3974 Å, with angles of 90.00, 90.00 and 120.00 degrees. The asymmetric unit holds Lu at (0.0000, 0.0000, 0.0000), Th at (0.0000, 0.0000, 0.1156) and C at (0.0000, 0.0000, 0.5000).

3.
DFT (PBE-GGA) results for a relaxed LuTh3C crystal.

The space group is Pm-3m (No. 221) and the conventional cell measures 5.150, 5.150 and 5.150 Å, with angles of 90.00, 90.00 and 90.00 degrees. The asymmetric unit holds Lu at (0.000, 0.000, 0.000), Th at (0.000, 0.500, 0.500) and C at (0.500, 0.500, 0.500).

4.
DFT (PBE-GGA) results for a relaxed LuThC crystal.

The space group is I4mm (No. 107) and the conventional cell measures 3.220, 3.220 and 11.844 Å, with angles of 90.00, 90.00 and 90.00 degrees. The asymmetric unit holds Lu at (0.000, 0.000, 0.000), Th at (0.000, 0.000, 0.238) and C at (0.000, 0.000, 0.622).

The calculation puts the relative energy among the computed polymorphs at 0.529 eV per atom.

5.
DFT (PBE-GGA) results for a relaxed LuThC crystal.

The space group is P3m1 (No. 156) and the conventional cell measures 3.5503, 3.5503 and 6.3495 Å, with angles of 90.00, 90.00 and 120.00 degrees. The asymmetric unit holds Lu at (0.0000, 0.0000, 0.0000), Th at (0.6667, 0.3333, 0.5655) and C at (0.3333, 0.6667, 0.8030).

The calculation puts the relative energy among the computed polymorphs at 0.000 eV per atom.

6.
DFT (PBE-GGA) results for a relaxed LuTiC2 crystal.

The space group is R-3m (No. 166, hexagonal axes) and the conventional cell measures 3.2476, 3.2476 and 16.2126 Å, with angles of 90.00, 90.00 and 120.00 degrees. The asymmetric unit holds Lu at (0.0000, 0.0000, 0.0000), Ti at (0.0000, 0.0000, 0.5000) and C at (0.0000, 0.0000, 0.2400).

7.
DFT (PBE-GGA) results for a relaxed LuTi2C crystal.

The space group is R-3m (No. 166, hexagonal axes) and the conventional cell measures 3.1587, 3.1587 and 23.3375 Å, with angles of 90.00, 90.00 and 120.00 degrees. The asymmetric unit holds Lu at (0.0000, 0.0000, 0.0000), Ti at (0.0000, 0.0000, 0.2150) and C at (0.0000, 0.0000, 0.5000).

8.
DFT (PBE-GGA) results for a relaxed Lu2TiC crystal.

The space group is R-3m (No. 166, hexagonal axes) and the conventional cell measures 3.3803, 3.3803 and 26.1418 Å, with angles of 90.00, 90.00 and 120.00 degrees. The asymmetric unit holds Lu at (0.0000, 0.0000, 0.1159), Ti at (0.0000, 0.0000, 0.0000) and C at (0.0000, 0.0000, 0.5000).

What are the N(E_F) values for these records? In order: 5.05; 12.85; 5.97; 4.96; 2.94; 6.48; 16.37; 8.59 states/eV per cell.
What are the formation energy from the elements values for these records? In order: -0.035; 0.014; -0.110; 0.278; -0.251; -0.391; -0.340; 0.112 eV per atom.
What are the raw total energy values for these records? In order: -9.00; -7.13; -7.31; -6.78; -7.31; -8.11; -7.72; -6.43 eV per atom.